Computed, not measured: a relaxed structure of Tb3PmPrY at the GGA-PBE level of DFT.

Cell: 5.9712 6.3355 11.9537 Å, 90.00 90.00 118.12°
With the nearest neighbours (Å) after each atom.
Fractional positions:
Tb 0.6714 0.3427 0.4997  4 Tb 3.46-3.83, 1 Y 3.47, 2 Pm 3.55, 3 Pr 3.55-3.67
Tb 0.3286 0.6573 0.5003  4 Tb 3.46-3.83, 1 Y 3.47, 2 Pm 3.55, 3 Pr 3.55-3.67
Tb 0.3286 0.6573 0.9997  4 Tb 3.46-3.83, 1 Y 3.47, 2 Pm 3.55, 3 Pr 3.55-3.67
Tb 0.6714 0.3427 0.0003  4 Tb 3.46-3.83, 1 Y 3.47, 2 Pm 3.55, 3 Pr 3.55-3.67
Tb 0.1720 0.3439 0.7500  2 Tb 3.46, 3 Y 3.46-3.84, 3 Pm 3.55-3.66, 2 Pr 3.55
Tb 0.8280 0.6561 0.2500  2 Tb 3.46, 3 Y 3.46-3.84, 3 Pm 3.55-3.66, 2 Pr 3.55
Pm 0.4999 0.9998 0.7500  7 Tb 3.55-3.66, 3 Y 3.55-3.67
Pm 0.5001 0.0002 0.2500  7 Tb 3.55-3.66, 3 Y 3.55-3.67
Pr 0.0000 0.0000 0.5000  8 Tb 3.55-3.67, 2 Y 3.55
Pr 0.0000 0.0000 0.0000  8 Tb 3.55-3.67, 2 Y 3.55
Y 0.8286 0.6572 0.7500  5 Tb 3.46-3.84, 3 Pm 3.55-3.67, 2 Pr 3.55
Y 0.1714 0.3428 0.2500  5 Tb 3.46-3.84, 3 Pm 3.55-3.67, 2 Pr 3.55

Output
crystal system	orthorhombic
E_form	0.113	eV/atom
size of the total moment	0.00	μB per formula unit